Entry 1:
An optimized crystal structure of Ac2InNi12B3. Source: Alexandria via LeMat-Bulk, functional PBE.

Output
D(E_F): 28.7 states/eV/cell
ΔH_f (0 K): -0.02 eV/atom
Crystal system: trigonal

a = 7.2153 Å, b = 7.2153 Å, c = 18.1007 Å
α = 90.00°, β = 90.00°, γ = 120.00°
Space group R-3m (No. 166, hexagonal axes)
Asymmetric unit:
Ac (0.0000, 0.0000, 0.1023) [6 per cell]
In (0.0000, 0.0000, 0.5000) [3 per cell]
Ni (0.0356, 0.5178, 0.8928) [18 per cell]
Ni (0.0722, 0.5361, 0.3437) [18 per cell]
B (0.0000, 0.5000, 0.0000) [9 per cell]

---

Entry 2:
An optimized crystal structure of AcIn3B4O12. Source: Alexandria via LeMat-Bulk, functional PBE.

Output
D(E_F): 0.0 states/eV/cell
Crystal system: trigonal
E_form (uncorrected): -2.30 eV/atom

a = 10.0778 Å, b = 10.0778 Å, c = 8.3071 Å
α = 90.00°, β = 90.00°, γ = 120.00°
Space group R32 (No. 155, hexagonal axes)
Asymmetric unit:
Ac (0.0000, 0.0000, 0.0000) [3 per cell]
In (0.0000, 0.5443, 0.0000) [9 per cell]
B (0.0000, 0.0000, 0.5000) [3 per cell]
B (0.0000, 0.4518, 0.5000) [9 per cell]
O (0.0000, 0.5907, 0.5000) [9 per cell]
O (0.0000, 0.8619, 0.5000) [9 per cell]
O (0.0145, 0.2088, 0.1824) [18 per cell]

---

Entry 3:
An optimized crystal structure of AcInB2O6. Source: Alexandria via LeMat-Bulk, functional PBE.

Output
D(E_F): 0.0 states/eV/cell
Crystal system: monoclinic
E_form (uncorrected): -2.51 eV/atom

a = 8.646 Å, b = 9.776 Å, c = 6.325 Å
α = 90.00°, β = 106.77°, γ = 90.00°
Space group C2/c (No. 15)
Asymmetric unit:
Ac (0.000, 0.142, 0.250) [4 per cell]
In (0.000, 0.415, 0.750) [4 per cell]
B (0.238, 0.145, 0.759) [8 per cell]
O (0.104, 0.399, 0.118) [8 per cell]
O (0.135, 0.054, 0.631) [8 per cell]
O (0.206, 0.284, 0.746) [8 per cell]

---

Entry 4:
An optimized crystal structure of Ac2InBPt6. Source: Alexandria via LeMat-Bulk, functional PBE.

Output
D(E_F): 8.6 states/eV/cell
ΔH_f (0 K): -0.83 eV/atom
Crystal system: trigonal

a = 5.9254 Å, b = 5.9254 Å, c = 20.2242 Å
α = 90.00°, β = 90.00°, γ = 120.00°
Space group R-3m (No. 166, hexagonal axes)
Asymmetric unit:
Ac (0.0000, 0.0000, 0.2245) [6 per cell]
In (0.0000, 0.0000, 0.5000) [3 per cell]
B (0.0000, 0.0000, 0.0000) [3 per cell]
Pt (0.0122, 0.5061, 0.2747) [18 per cell]

---

Entry 5:
An optimized crystal structure of Ac2InBRh6. Source: Alexandria via LeMat-Bulk, functional PBE.

Output
D(E_F): 32.8 states/eV/cell
ΔH_f (0 K): -0.41 eV/atom
Crystal system: trigonal

a = 6.5297 Å, b = 6.5297 Å, c = 16.0416 Å
α = 90.00°, β = 90.00°, γ = 120.00°
Space group R-3m (No. 166, hexagonal axes)
Asymmetric unit:
Ac (0.0000, 0.0000, 0.2501) [6 per cell]
In (0.0000, 0.0000, 0.0000) [3 per cell]
B (0.0000, 0.0000, 0.5000) [3 per cell]
Rh (0.0376, 0.5188, 0.2403) [18 per cell]

---

Entry 6:
An optimized crystal structure of Ac2B4Ir5. Source: Alexandria via LeMat-Bulk, functional PBE.

Output
D(E_F): 10.8 states/eV/cell
ΔH_f (0 K): -0.63 eV/atom
Crystal system: orthorhombic

a = 5.626 Å, b = 10.370 Å, c = 11.483 Å
α = 90.00°, β = 90.00°, γ = 90.00°
Space group Fmmm (No. 69)
Asymmetric unit:
Ac (0.000, 0.000, 0.145) [8 per cell]
B (0.000, 0.163, 0.371) [16 per cell]
Ir (0.000, 0.000, 0.500) [4 per cell]
Ir (0.250, 0.250, 0.000) [8 per cell]
Ir (0.250, 0.250, 0.250) [8 per cell]

---

Entry 7:
An optimized crystal structure of Ac3B7Ir. Source: Alexandria via LeMat-Bulk, functional PBE.

Output
D(E_F): 5.2 states/eV/cell
ΔH_f (0 K): -0.24 eV/atom
Crystal system: monoclinic

a = 4.168 Å, b = 11.257 Å, c = 7.896 Å
α = 90.00°, β = 98.93°, γ = 90.00°
Space group P2_1/m (No. 11)
Asymmetric unit:
Ac (0.200, 0.250, 0.032) [2 per cell]
Ac (0.277, 0.566, 0.309) [4 per cell]
B (0.059, 0.166, 0.388) [4 per cell]
B (0.179, 0.250, 0.570) [2 per cell]
B (0.230, 0.608, 0.762) [4 per cell]
B (0.356, 0.534, 0.935) [4 per cell]
Ir (0.447, 0.750, 0.619) [2 per cell]

---

Entry 8:
An optimized crystal structure of AcB2Ir5. Source: Alexandria via LeMat-Bulk, functional PBE.

Output
D(E_F): 14.2 states/eV/cell
ΔH_f (0 K): -0.25 eV/atom
Crystal system: orthorhombic

a = 3.996 Å, b = 6.600 Å, c = 9.144 Å
α = 90.00°, β = 90.00°, γ = 90.00°
Space group Immm (No. 71)
Asymmetric unit:
Ac (0.000, 0.000, 0.000) [2 per cell]
B (0.000, 0.500, 0.237) [4 per cell]
Ir (0.000, 0.202, 0.346) [8 per cell]
Ir (0.000, 0.500, 0.000) [2 per cell]